(1)
K2S2O5 SCAN single point on PBEsol structure; ρ = 2.33 Mg/m³; space group = P2_1/m, No. 11; density of states at the Fermi level = 0.00 states/eV/cell; final energy = -9.222 eV per atom
1.0
7.017 0.000 0.000
0.000 6.125 0.000
-1.587 0.000 7.361
K S O
4 4 10
Cartesian
0.728 1.531 1.278
1.104 4.594 4.209
4.327 1.531 3.152
4.703 4.594 6.082
0.219 1.531 5.454
3.015 4.594 1.304
2.416 1.531 6.057
5.211 4.594 1.907
-0.355 0.302 6.051
-0.355 2.760 6.051
0.143 1.531 3.975
2.553 3.363 2.032
2.553 5.825 2.032
2.877 0.300 5.328
2.877 2.762 5.328
5.287 4.594 3.385
5.785 3.365 1.310
5.785 5.823 1.310



(2)
KS2O3 SCAN single point on PBEsol structure; ρ = 2.30 Mg/m³; space group = Cc, No. 9; density of states at the Fermi level = 0.00 states/eV/cell; final energy = -9.250 eV per atom
1.0
10.978 -4.033 0.000
10.978 4.033 0.000
-2.144 0.000 9.882
K S O
8 16 24
Cartesian
4.327 1.267 1.094
9.905 3.464 4.941
6.658 0.725 4.396
3.255 -1.267 6.035
5.586 -0.725 9.337
16.802 0.922 3.192
15.730 -0.922 8.133
10.978 -3.464 0.000
1.302 1.063 7.731
8.081 2.410 1.553
2.375 -1.063 2.790
8.173 1.456 7.634
10.016 1.484 1.506
11.733 1.689 9.672
10.176 0.423 3.197
13.287 1.144 1.629
9.104 -0.423 8.138
13.830 1.336 9.811
9.245 -1.456 2.693
8.943 -1.484 6.447
7.009 -2.410 6.494
12.215 -1.144 6.570
12.806 -1.689 4.731
14.902 -1.336 4.870
7.826 2.822 2.939
4.465 1.669 5.767
2.683 0.904 8.214
1.961 0.011 1.890
0.889 -0.011 6.831
7.089 1.436 1.070
8.903 2.388 8.484
6.757 1.305 7.976
8.405 1.629 6.202
12.413 2.646 3.866
3.756 -0.904 3.273
5.537 -1.669 0.826
6.017 -1.436 6.011
7.829 -1.305 3.035
14.287 1.495 8.422
9.477 -1.629 1.261
6.754 -2.822 7.879
15.078 0.022 5.390
16.150 -0.022 0.450
9.975 -2.388 3.543
18.238 0.528 5.558
15.359 -1.495 3.481
11.340 -2.646 8.807
19.310 -0.528 0.617



(3)
K2SO4 SCAN single point on PBEsol structure; ρ = 2.70 Mg/m³; space group = Pnma, No. 62; density of states at the Fermi level = 0.00 states/eV/cell; polymorph energy (0 for the lowest one) = 0 meV/atom; final energy = -9.444 eV per atom
1.0
7.440 0.000 0.000
0.000 5.742 0.000
0.000 0.000 10.025
K S O
8 4 16
Cartesian
0.059 1.435 2.022
1.271 4.306 4.142
2.448 1.435 9.155
3.660 4.306 7.035
3.779 1.435 2.990
4.991 4.306 0.870
6.168 1.435 5.882
7.380 4.306 8.002
1.722 4.306 0.807
1.998 1.435 5.819
5.442 4.306 4.205
5.718 1.435 9.218
0.240 4.306 0.801
1.466 1.435 4.422
1.498 0.218 6.521
1.498 2.653 6.521
2.222 3.089 1.509
2.222 5.524 1.509
2.254 4.306 9.435
3.480 1.435 5.813
3.959 4.306 4.212
5.185 1.435 0.590
5.218 0.218 8.516
5.218 2.653 8.516
5.942 3.089 3.503
5.942 5.524 3.503
5.974 4.306 5.602
7.200 1.435 9.224



(4)
K3Sb7S3O9 SCAN single point on PBEsol structure; ρ = 4.07 Mg/m³; space group = P6_3, No. 173; density of states at the Fermi level = 0.00 states/eV/cell; final energy = -18.176 eV per atom
1.0
14.257 0.000 0.000
-7.128 12.347 0.000
0.000 0.000 5.615
K Sb S O
6 14 6 18
Cartesian
-4.256 9.990 0.000
0.604 3.666 0.000
3.477 1.309 2.807
3.652 11.037 0.000
6.524 8.681 2.807
11.384 2.356 2.807
-4.081 7.544 2.776
-0.866 5.574 2.841
-1.868 10.310 2.841
0.000 8.231 0.642
2.635 5.041 2.776
5.683 0.238 5.583
4.395 3.537 0.034
2.734 8.810 2.841
1.446 12.109 2.776
4.493 7.306 5.583
7.128 4.116 3.450
8.996 2.037 0.034
7.994 6.772 0.034
11.209 4.802 5.583
-2.140 7.710 5.226
1.521 6.638 5.226
0.619 10.345 5.226
6.509 2.002 2.419
5.607 5.709 2.419
9.269 4.636 2.419
-1.703 4.451 1.397
-1.637 4.365 4.212
-3.702 9.540 2.731
0.717 4.371 2.731
-2.529 11.582 4.212
-2.423 11.596 1.397
4.144 1.565 5.538
2.962 3.601 1.405
3.003 3.700 4.205
4.125 8.647 1.397
4.166 8.746 4.212
2.985 10.782 2.731
9.551 0.751 4.205
9.658 0.765 1.405
6.411 7.976 5.538
10.830 2.806 5.538
8.766 7.981 1.405
8.831 7.896 4.205



(5)
K2SeS2O6 SCAN single point on PBEsol structure; ρ = 2.59 Mg/m³; space group = P2_1/c, No. 14; density of states at the Fermi level = 0.00 states/eV/cell; final energy = -10.150 eV per atom
1.0
9.554 0.000 0.000
0.000 5.934 0.000
-5.586 0.000 14.372
K Se S O
8 4 8 24
Cartesian
-0.510 1.304 2.600
-3.303 1.663 9.785
-2.786 1.380 13.909
0.007 1.587 6.723
3.961 4.347 7.648
6.754 4.554 0.463
7.271 4.270 4.586
4.478 4.630 11.772
-0.336 3.973 10.107
2.457 4.928 2.921
1.511 1.006 11.450
4.304 1.961 4.265
1.029 4.207 1.290
-1.764 4.694 8.476
-1.688 4.401 11.893
1.105 4.500 4.707
2.863 1.434 9.665
5.656 1.533 2.479
5.732 1.240 5.895
2.939 1.727 13.081
-3.108 4.303 8.917
-0.315 4.598 1.731
-1.259 3.961 7.315
1.534 4.940 0.130
-1.604 0.211 8.362
1.189 2.756 1.177
-2.655 3.290 11.931
0.138 5.611 4.745
0.444 3.207 4.478
-2.349 5.693 11.664
-0.755 4.398 13.012
2.038 4.503 5.826
1.931 1.431 8.545
4.724 1.536 1.360
6.317 0.241 2.708
3.524 2.726 9.893
3.830 0.323 9.626
6.623 2.644 2.441
2.779 3.178 13.195
5.572 5.722 6.009
2.434 0.994 14.242
5.227 1.973 7.056
4.283 1.336 12.641
7.076 1.631 5.455



(6)
K6Si2S6O SCAN single point on PBEsol structure; ρ = 2.13 Mg/m³; space group = P2_1/c, No. 14; density of states at the Fermi level = 0.00 states/eV/cell; final energy = -10.485 eV per atom
1.0
8.683 0.000 0.000
0.000 11.624 0.000
-3.059 0.000 7.703
K Si S O
12 4 12 2
Cartesian
0.029 1.992 0.084
-1.500 3.820 3.935
1.300 6.527 1.661
-0.230 10.909 5.512
1.499 2.581 6.212
3.029 3.231 2.360
2.595 8.393 5.343
4.124 9.043 1.491
5.853 0.715 2.191
4.324 5.097 6.043
7.124 7.804 3.768
5.594 9.632 7.620
0.132 5.937 6.535
1.661 11.500 2.683
3.962 0.125 5.020
5.492 5.687 1.168
0.216 1.357 3.161
-1.313 4.455 7.013
-0.587 7.927 6.693
0.943 9.509 2.841
2.595 0.262 0.819
1.066 5.550 4.671
4.558 6.074 3.033
3.029 11.363 6.884
4.681 2.115 4.862
6.211 3.697 1.011
6.937 7.169 0.690
5.407 10.267 4.542
2.812 0.000 3.852
4.341 5.812 0.000



(7)
KSmS2O8 SCAN single point on PBEsol structure; ρ = 3.96 Mg/m³; space group = P2_1/c, No. 14; density of states at the Fermi level = 0.00 states/eV/cell; final energy = -12.525 eV per atom
1.0
8.561 0.000 0.000
0.000 7.095 0.000
-0.405 0.000 10.538
K Sm S O
4 4 8 32
Cartesian
0.418 1.051 3.621
0.215 2.497 8.891
7.940 4.598 1.648
7.738 6.044 6.917
3.536 4.737 6.864
3.739 5.905 1.595
4.416 1.190 8.944
4.619 2.357 3.675
1.773 4.672 4.332
1.571 5.970 9.601
2.469 1.171 6.424
2.672 2.376 1.155
5.483 4.719 9.384
5.686 5.923 4.115
6.585 1.124 0.938
6.382 2.423 6.207
0.733 3.775 3.879
0.530 6.868 9.148
1.029 1.024 6.388
1.232 2.523 1.119
1.687 5.320 0.373
1.485 5.322 5.642
1.867 4.922 8.579
2.070 5.720 3.310
3.052 1.177 2.006
2.850 2.370 7.275
3.036 1.247 5.066
2.833 2.300 10.335
3.053 3.921 4.641
2.851 6.721 9.911
3.160 0.048 7.165
3.363 3.500 1.896
4.793 3.595 8.643
4.995 7.047 3.374
5.305 0.373 0.628
5.102 3.174 5.897
5.322 4.794 0.204
5.119 5.848 5.473
5.306 4.725 3.263
5.103 5.917 8.532
6.085 1.374 7.228
6.288 2.173 1.959
6.671 1.773 4.896
6.468 1.775 10.166
6.924 4.572 9.420
7.126 6.070 4.150
7.626 0.227 1.390
7.423 3.320 6.660



(8)
K7TaS6O24 SCAN single point on PBEsol structure; ρ = 2.76 Mg/m³; space group = R-3, No. 148; density of states at the Fermi level = 0.00 states/eV/cell; final energy = -10.805 eV per atom
1.0
7.606 4.391 3.096
-7.606 4.391 3.096
0.000 -8.782 3.096
K Ta S O
7 1 6 24
Cartesian
0.000 0.000 0.000
-3.792 -3.588 5.114
-5.004 1.490 4.175
1.211 -5.078 4.175
-1.211 5.078 5.114
5.004 -1.490 5.114
3.792 3.588 4.175
0.000 0.000 4.644
-0.971 -2.527 2.563
-1.703 2.104 2.563
2.674 0.423 2.563
-2.674 -0.423 6.725
1.703 -2.104 6.725
0.971 2.527 6.725
-6.288 -2.398 4.955
-1.997 -3.424 3.089
-2.869 1.224 2.599
-1.067 -6.645 4.334
0.374 -3.096 2.599
-0.969 -1.287 3.517
-5.221 4.246 4.334
-1.966 3.441 3.089
-0.630 1.483 3.517
-3.963 0.018 6.200
1.599 -0.196 3.517
-2.495 -1.872 6.689
2.495 1.872 2.599
-1.599 0.196 5.771
3.963 -0.018 3.089
0.630 -1.483 5.771
1.966 -3.441 6.200
5.221 -4.246 4.955
0.969 1.287 5.771
-0.374 3.096 6.689
1.067 6.645 4.955
2.869 -1.224 6.689
1.997 3.424 6.200
6.288 2.398 4.334



(9)
K3VS2O2 SCAN single point on PBEsol structure; ρ = 2.35 Mg/m³; space group = P2_1/c, No. 14; density of states at the Fermi level = 0.00 states/eV/cell; final energy = -11.200 eV per atom
1.0
10.512 0.000 0.000
0.000 7.245 0.000
-6.091 0.000 9.802
K V S O
12 4 8 8
Cartesian
-1.914 0.999 3.340
-4.959 2.624 8.241
1.560 1.597 2.049
-1.485 2.025 6.950
2.277 5.350 3.729
-0.769 5.517 8.630
5.190 1.728 1.172
2.144 1.894 6.073
5.906 5.220 2.851
2.860 5.648 7.752
9.380 4.621 1.561
6.334 6.246 6.462
-1.175 5.082 5.156
1.870 5.785 0.255
2.550 1.460 9.547
5.596 2.162 4.646
-3.096 0.254 9.238
-0.050 3.368 4.338
3.247 4.169 0.859
0.202 6.699 5.760
4.219 0.546 4.042
1.174 3.076 8.943
4.471 3.876 5.464
7.517 6.991 0.563
-5.300 5.183 8.928
-2.254 5.684 4.027
-2.006 4.587 6.515
1.039 6.280 1.614
3.381 0.965 8.188
6.427 2.657 3.287
6.675 1.560 5.775
9.721 2.062 0.874